Entry 1:
{
  "formula": "Tb3HoCo2",
  "functional": "GGA-PBE",
  "state": "relaxed",
  "final_energy_ev_per_cell": -67.169,
  "polymorph_energy_ev_per_atom": 0.0000,
  "formation_enthalpy_0k_ev_per_atom": -0.151,
  "lattice_angstrom": [[3.6760, 0.0000, 0.7408], [1.5460, 8.0900, 1.8194], [-0.0843, -0.0239, 9.9084]],
  "species": ["Tb", "Tb", "Tb", "Tb", "Tb", "Tb", "Ho", "Ho", "Co", "Co", "Co", "Co"],
  "frac_coords": [[0.1597, 0.9279, 0.7526], [0.8403, 0.0721, 0.2474], [0.4162, 0.2281, 0.9395], [0.5838, 0.7719, 0.0605], [0.5835, 0.2755, 0.5575], [0.4165, 0.7245, 0.4425], [0.8399, 0.5718, 0.7484], [0.1601, 0.4282, 0.2516], [0.2329, 0.5817, 0.9525], [0.7671, 0.4183, 0.0475], [0.7663, 0.9187, 0.5487], [0.2337, 0.0813, 0.4513]]
}

***

Entry 2:
{
  "formula": "TbHo2Co",
  "functional": "GGA-PBE",
  "state": "relaxed",
  "final_energy_ev_per_cell": -20.929,
  "polymorph_energy_ev_per_atom": 0.1578,
  "formation_enthalpy_0k_ev_per_atom": -0.009,
  "lattice_angstrom": [[3.7446, 0.0000, 0.0000], [1.8723, 3.2429, 0.0000], [1.8723, 1.0810, 8.9152]],
  "species": ["Tb", "Ho", "Ho", "Co"],
  "frac_coords": [[0.5014, 0.5014, 0.4958], [0.0564, 0.0564, 0.8308], [0.2761, 0.2761, 0.1718], [0.6661, 0.6661, 0.0016]]
}

***

Entry 3:
{
  "formula": "TbHoCo3",
  "functional": "GGA-PBE",
  "state": "relaxed",
  "final_energy_ev_per_cell": -63.061,
  "formation_enthalpy_0k_ev_per_atom": -0.201,
  "lattice_angstrom": [[3.8767, 0.0000, 0.0000], [0.0000, 3.9999, -0.7648], [0.0000, 0.1787, 11.7770]],
  "species": ["Tb", "Tb", "Ho", "Ho", "Co", "Co", "Co", "Co", "Co", "Co"],
  "frac_coords": [[0.2500, 0.0704, 0.1409], [0.7500, 0.9296, 0.8591], [0.2500, 0.7953, 0.5906], [0.7500, 0.2047, 0.4094], [0.2500, 0.3792, 0.7585], [0.7500, 0.6208, 0.2415], [0.2500, 0.4761, 0.9522], [0.7500, 0.5239, 0.0478], [0.7500, 0.3319, 0.6638], [0.2500, 0.6681, 0.3362]]
}

***

Entry 4:
{
  "formula": "TbHo8Co2",
  "functional": "GGA-PBE",
  "state": "relaxed",
  "final_energy_ev_per_cell": -55.297,
  "formation_enthalpy_0k_ev_per_atom": 0.015,
  "lattice_angstrom": [[6.3534, -0.1686, -0.1280], [0.0613, 7.3513, 0.5908], [0.0613, 2.5484, 6.9207]],
  "species": ["Tb", "Ho", "Ho", "Ho", "Ho", "Ho", "Ho", "Ho", "Ho", "Co", "Co"],
  "frac_coords": [[0.0000, 0.0000, 0.0000], [0.1855, 0.4451, 0.8656], [0.8145, 0.1344, 0.5549], [0.4266, 0.8641, 0.8641], [0.5734, 0.1359, 0.1359], [0.1855, 0.8656, 0.4451], [0.8145, 0.5549, 0.1344], [0.7030, 0.6151, 0.6151], [0.2970, 0.3849, 0.3849], [0.9925, 0.7846, 0.7846], [0.0075, 0.2154, 0.2154]]
}

***

Entry 5:
{
  "formula": "TbHoTlCo",
  "functional": "GGA-PBE",
  "state": "relaxed",
  "final_energy_ev_per_cell": -19.170,
  "formation_enthalpy_0k_ev_per_atom": -0.123,
  "lattice_angstrom": [[5.1063, 0.0000, 0.0000], [2.5531, 4.4221, 0.0000], [2.5531, 1.4740, 4.1692]],
  "species": ["Co", "Tl", "Tb", "Ho"],
  "frac_coords": [[0.5000, 0.5000, 0.5000], [0.0000, 0.0000, 0.0000], [0.2500, 0.2500, 0.2500], [0.7500, 0.7500, 0.7500]]
}

***

Entry 6:
{
  "formula": "TbHoZnCo",
  "functional": "GGA-PBE",
  "state": "relaxed",
  "final_energy_ev_per_cell": -18.536,
  "polymorph_energy_ev_per_atom": 0.0000,
  "formation_enthalpy_0k_ev_per_atom": -0.237,
  "lattice_angstrom": [[3.8417, 0.0000, 0.0000], [0.0000, 4.2465, 0.0000], [-1.9208, 0.0000, 5.2669]],
  "species": ["Tb", "Ho", "Zn", "Co"],
  "frac_coords": [[0.1408, 0.0000, 0.2817], [0.8593, 0.5000, 0.7186], [0.5656, 0.5000, 0.1312], [0.4343, 0.0000, 0.8686]]
}

***

> Which formula does entry 1 have?

Tb3HoCo2